[1]
Computed, not measured: a relaxed structure of Li2TmMg3 at the PBE-GGA level of DFT.

raw total energy = -2.2308 eV per atom
formation energy from the elements = -0.050 eV/atom

a b c (Å): 3.4491 3.4491 11.3141
angles (deg): 90.00 90.00 90.00
Space group P4/mmm (No. 123)
Asymmetric unit:
Li 0.0000 0.0000 0.1533 x2
Tm 0.0000 0.0000 0.5000 x1
Mg 0.5000 0.5000 0.0000 x1
Mg 0.5000 0.5000 0.3009 x2

[2]
Computed, not measured: a relaxed structure of Ca2Co at the PBE-GGA level of DFT.

raw total energy = -3.2257 eV per atom
formation energy from the elements = 0.477 eV/atom

a b c (Å): 4.7691 4.7691 3.7900
angles (deg): 90.00 90.00 120.00
Space group P-3m1 (No. 164)
Asymmetric unit:
Ca 0.3333 0.6667 0.2332 x2
Co 0.0000 0.0000 0.5000 x1

[3]
Computed, not measured: a relaxed structure of Pu2RhN at the PBE-GGA level of DFT.

raw total energy = -11.5576 eV per atom
E_form (uncorrected) = -472 meV per atom
distance to the lowest polymorph of the same formula = 262 meV/atom

a b c (Å): 3.1177 3.1177 6.9033
angles (deg): 90.00 90.00 90.00
Space group P4/mmm (No. 123)
Asymmetric unit:
Pu 0.0000 0.0000 0.2062 x2
Rh 0.5000 0.5000 0.5000 x1
N 0.5000 0.5000 0.0000 x1

[4]
Computed, not measured: a relaxed structure of Pu2ZnCu3Ge4 at the PBE-GGA level of DFT.

raw total energy = -6.3653 eV per atom
formation energy from the elements = -0.296 eV/atom

a b c (Å): 4.1759 4.1759 10.1863
angles (deg): 90.00 90.00 90.00
Space group P-4m2 (No. 115)
Asymmetric unit:
Pu 0.0000 0.5000 0.2470 x2
Zn 0.0000 0.0000 0.5000 x1
Cu 0.0000 0.5000 0.8725 x2
Cu 0.5000 0.5000 0.5000 x1
Ge 0.0000 0.0000 0.0000 x1
Ge 0.0000 0.5000 0.6407 x2
Ge 0.5000 0.5000 0.0000 x1